Entry 1:
Density functional theory data (GGA-PBE) for an optimized crystal structure of Na3FeTc.

Cell lengths 5.2623, 5.2623, 5.2623 Å; angles 90.00, 90.00, 90.00 degrees
Closest atoms and distances in Å follow each position.
Space group Pm-3m (No. 221)
Inequivalent atoms, fractional coordinates:
Na 0.0000 0.0000 0.5000 x3  2 Fe 2.63
Fe 0.0000 0.0000 0.0000 x1  6 Na 2.63
Tc 0.5000 0.5000 0.5000 x1  12 Na 3.72

Results
The calculation puts the distance to the lowest polymorph of the same formula at 0.0 meV per atom. The calculated volume comes out at 29.144 A^3/atom. As for the total energy: -0.212 Ry per atom.

Entry 2:
Density functional theory data (GGA-PBE) for an optimized crystal structure of Li4OF2.

Cell lengths 3.6710, 3.6710, 10.7139 Å; angles 90.00, 90.00, 90.00 degrees
Closest atoms and distances in Å follow each position.
Space group I4/mmm (No. 139)
Inequivalent atoms, fractional coordinates:
Li 0.0000 0.0000 0.1748 x4  1 F 1.83, 1 O 1.87
Li 0.0000 0.5000 0.0000 x4  2 O 1.84
O 0.0000 0.0000 0.0000 x2  6 Li 1.84-1.87
F 0.0000 0.0000 0.3454 x4  1 Li 1.83

Results
For the raw formation energy, the calculation gives -2298 meV/atom. The calculation puts the distance to the lowest polymorph of the same formula at 84.3 meV per atom. The calculated volume comes out at 10.313 A^3/atom. As for the total energy: -0.341 Ry per atom.

Entry 3:
Density functional theory data (GGA-PBE) for an optimized crystal structure of Mg2AlCr.

Cell lengths 9.6959, 3.0289, 5.1738 Å; angles 90.00, 100.93, 90.00 degrees
Closest atoms and distances in Å follow each position.
Space group Cm (No. 8)
Inequivalent atoms, fractional coordinates:
Mg 0.0000 0.0000 0.0000 x2  5 Mg 2.88-3.07, 4 Cr 2.94-3.07, 3 Al 2.98-2.99
Mg 0.2357 0.0000 0.7346 x2  5 Mg 2.88-3.07, 4 Al 2.89-3.12, 3 Cr 2.96
Al 0.2519 0.5000 0.2666 x2  3 Cr 2.76-3.01, 5 Mg 2.89-2.99, 2 Al 3.03
Cr 0.4843 0.0000 0.4796 x2  3 Al 2.76-3.01, 7 Mg 2.94-3.07, 2 Cr 3.03

Results
The calculated volume comes out at 18.648 A^3/atom. As for the total energy: -0.288 Ry per atom.

Entry 4:
Density functional theory data (GGA-PBE) for an optimized crystal structure of AlCoTe2.

Cell lengths 3.8273, 6.3130, 7.6271 Å; angles 90.00, 90.00, 90.00 degrees
Closest atoms and distances in Å follow each position.
Space group Cmmm (No. 65)
Inequivalent atoms, fractional coordinates:
Al 0.0000 0.0000 0.0000 x2  4 Te 2.85
Co 0.0000 0.0000 0.5000 x2  4 Te 2.56
Te 0.0000 0.5000 0.2772 x4  2 Co 2.56, 2 Al 2.85

Results
For the raw formation energy, the calculation gives 336 meV/atom. The calculated volume comes out at 23.035 A^3/atom. As for the total energy: -0.290 Ry per atom.

Entry 5:
Density functional theory data (GGA-PBE) for an optimized crystal structure of In4FeAs.

Cell lengths 8.3935, 8.3935, 8.3935 Å; angles 90.00, 90.00, 90.00 degrees
Closest atoms and distances in Å follow each position.
Space group F-43m (No. 216)
Inequivalent atoms, fractional coordinates:
In 0.1251 0.1251 0.1251 x16  6 In 2.96-2.97
Fe 0.0000 0.0000 0.5000 x4  12 In 3.48, 4 As 3.63
As 0.2500 0.2500 0.7500 x4  12 In 3.48, 4 Fe 3.63

Results
The calculated volume comes out at 24.639 A^3/atom. As for the total energy: -0.246 Ry per atom.

Entry 6:
Density functional theory data (GGA-PBE) for an optimized crystal structure of K4SmHo3Se8.

Cell lengths 8.4447, 8.4447, 23.0486 Å; angles 90.00, 90.00, 120.00 degrees
Closest atoms and distances in Å follow each position.
Space group R-3m (No. 166, hexagonal axes)
Inequivalent atoms, fractional coordinates:
K 0.0000 0.0000 0.0000 x3  6 Se 3.29
K 0.0000 0.5000 0.0000 x9  6 Se 3.34
Sm 0.0000 0.0000 0.5000 x3  6 Se 2.94
Ho 0.0000 0.5000 0.5000 x9  6 Se 2.89-2.90
Se 0.0000 0.0000 0.2346 x6  3 Ho 2.90
Se 0.0054 0.5027 0.7647 x18  2 Ho 2.89, 1 Sm 2.94

Results
For the raw formation energy, the calculation gives -1759 meV/atom. The calculated volume comes out at 29.655 A^3/atom. As for the total energy: -0.362 Ry per atom.

Entry 7:
Density functional theory data (GGA-PBE) for an optimized crystal structure of CdRuOF2.

Cell lengths 4.3012, 4.3012, 4.3498 Å; angles 90.00, 90.00, 90.00 degrees
Closest atoms and distances in Å follow each position.
Space group P4/mmm (No. 123)
Inequivalent atoms, fractional coordinates:
Cd 0.0000 0.0000 0.0000 x1  4 F 2.15, 2 O 2.17
Ru 0.5000 0.5000 0.5000 x1  4 O 3.04, 8 F 3.06
O 0.0000 0.0000 0.5000 x1  2 Cd 2.17
F 0.0000 0.5000 0.0000 x2  2 Cd 2.15

Results
For the raw formation energy, the calculation gives -302 meV/atom. The calculation puts the distance to the lowest polymorph of the same formula at 645.4 meV per atom. The calculated volume comes out at 16.095 A^3/atom. As for the total energy: -0.300 Ry per atom.

Entry 8:
Density functional theory data (GGA-PBE) for an optimized crystal structure of PrTmBr.

Cell lengths 3.7445, 3.7445, 7.4990 Å; angles 90.00, 90.00, 120.00 degrees
Closest atoms and distances in Å follow each position.
Space group P3m1 (No. 156)
Inequivalent atoms, fractional coordinates:
Pr 0.0000 0.0000 0.0000 x1  3 Br 3.35, 3 Tm 3.48, 6 Pr 3.74
Tm 0.3333 0.6667 0.6357 x1  3 Br 3.09
Br 0.6667 0.3333 0.3405 x1  3 Tm 3.09, 3 Pr 3.35

Results
For the raw formation energy, the calculation gives -739 meV/atom. The calculation puts the distance to the lowest polymorph of the same formula at 13.7 meV per atom. The calculated volume comes out at 30.352 A^3/atom. As for the total energy: -0.322 Ry per atom.